Material: Y2PI
Method: DFT, PBE
State: optimized geometry

Output
M_tot ... 0.00 μB/cell
Energy relative to the elements, uncorrected ... -0.758 eV per atom

Unit cell a=7.9670 b=7.9670 c=7.9670 alpha=130.75 beta=130.75 gamma=72.20
Sites, in units of the cell vectors:
Y1 0.0692 0.6250 0.9442
Y2 0.3750 0.3192 0.4442
Y3 0.6808 0.1250 0.0558
Y4 0.8750 0.9308 0.5558
P1 0.0000 0.0000 0.0000
P2 0.7500 0.2500 0.5000
I1 0.2500 0.7500 0.5000
I2 0.5000 0.5000 0.0000